[1]
VASP calculation (GGA-PBE) on a relaxed structure of LiEr2Pd5.

a = 5.9134 Å, b = 5.9135 Å, c = 5.7428 Å
α = 121.00°, β = 120.99°, γ = 90.04°
Closest atoms and distances in Å follow each position.
Atoms (fractional coordinates):
Li (0.2218, 0.2218, 0.4435)  8 Pd 2.87, 4 Er 2.96
Pd (0.7223, 0.7223, 0.4446)  8 Pd 2.87, 4 Er 2.96
Pd (0.7221, 0.2222, 0.9443)  4 Er 2.87, 2 Li 2.87, 6 Pd 2.87-2.96
Pd (0.2222, 0.2222, 0.9443)  6 Pd 2.87-2.96, 2 Li 2.87, 4 Er 2.87
Pd (0.2222, 0.7221, 0.9443)  4 Er 2.87, 2 Li 2.87, 6 Pd 2.87-2.96
Pd (0.7221, 0.7221, 0.9443)  2 Li 2.87, 4 Er 2.87, 6 Pd 2.87-2.96
Er (0.7222, 0.2222, 0.4443)  10 Pd 2.87-2.96, 2 Li 2.96
Er (0.2222, 0.7222, 0.4444)  10 Pd 2.87-2.96, 2 Li 2.96

Results
- Total magnetization: 0.00 μB/cell
- Crystal system: tetragonal
- Uncorrected energy: -5.489 eV/atom
- Calculated formation energy: -0.864 eV/atom

=====

[2]
VASP calculation (GGA-PBE) on a relaxed structure of LiEr6Pd2.

a = 3.9570 Å, b = 7.2231 Å, c = 8.6024 Å
α = 80.34°, β = 76.70°, γ = 74.10°
Closest atoms and distances in Å follow each position.
Atoms (fractional coordinates):
Er (0.2822, 0.3147, 0.1210)  3 Pd 2.89-3.15
Er (0.7178, 0.6853, 0.8790)  3 Pd 2.89-3.15
Er (0.3342, 0.8061, 0.5254)  2 Li 2.93, 2 Pd 2.96-3.02
Er (0.6658, 0.1939, 0.4746)  2 Li 2.93, 2 Pd 2.96-3.02
Er (0.0203, 0.1402, 0.8192)  2 Pd 2.90
Er (0.9797, 0.8598, 0.1808)  2 Pd 2.90
Li (0.0000, 0.5000, 0.5000)  4 Pd 2.86, 4 Er 2.93
Pd (0.5956, 0.5569, 0.2518)  2 Li 2.86, 7 Er 2.89-3.15
Pd (0.4044, 0.4431, 0.7482)  2 Li 2.86, 7 Er 2.89-3.15

Results
- Total magnetization: 0.00 μB/cell
- Crystal system: monoclinic
- Uncorrected energy: -4.786 eV/atom
- Calculated formation energy: -0.378 eV/atom

=====

[3]
VASP calculation (GGA-PBE) on a relaxed structure of LiErPd14.

a = 5.6261 Å, b = 5.6261 Å, c = 7.9616 Å
α = 90.00°, β = 90.00°, γ = 90.00°
Closest atoms and distances in Å follow each position.
Atoms (fractional coordinates):
Pd (0.8750, 0.8750, 0.0000)  12 Pd 2.81-2.82
Pd (0.8750, 0.3750, 0.5000)  2 Li 2.81, 2 Er 2.81, 8 Pd 2.82
Pd (0.8750, 0.3750, 0.0000)  12 Pd 2.80-2.81
Pd (0.1278, 0.6222, 0.7517)  10 Pd 2.78-2.84, 1 Li 2.81, 1 Er 2.84
Pd (0.6222, 0.6222, 0.2483)  10 Pd 2.78-2.84, 1 Li 2.81, 1 Er 2.84
Pd (0.3750, 0.8750, 0.0000)  12 Pd 2.80-2.81
Pd (0.6222, 0.1278, 0.2483)  10 Pd 2.78-2.84, 1 Li 2.81, 1 Er 2.84
Pd (0.6222, 0.6222, 0.7517)  10 Pd 2.78-2.84, 1 Li 2.81, 1 Er 2.84
Pd (0.3750, 0.8750, 0.5000)  2 Li 2.81, 2 Er 2.81, 8 Pd 2.82
Pd (0.6222, 0.1278, 0.7517)  10 Pd 2.78-2.84, 1 Li 2.81, 1 Er 2.84
Pd (0.1279, 0.1279, 0.2483)  10 Pd 2.78-2.84, 1 Li 2.81, 1 Er 2.84
Pd (0.1279, 0.1279, 0.7517)  10 Pd 2.78-2.84, 1 Li 2.81, 1 Er 2.84
Pd (0.1278, 0.6222, 0.2483)  10 Pd 2.78-2.84, 1 Li 2.81, 1 Er 2.84
Pd (0.3750, 0.3750, 0.0000)  12 Pd 2.79-2.81
Er (0.8750, 0.8750, 0.5000)  12 Pd 2.81-2.84
Li (0.3750, 0.3750, 0.5000)  12 Pd 2.81

Results
- Total magnetization: 0.00 μB/cell
- Crystal system: tetragonal
- Uncorrected energy: -5.211 eV/atom
- Calculated formation energy: -0.263 eV/atom

=====

[4]
VASP calculation (GGA-PBE) on a relaxed structure of LiErPd3.

a = 5.6875 Å, b = 6.9863 Å, c = 9.5277 Å
α = 116.39°, β = 90.00°, γ = 90.00°
Closest atoms and distances in Å follow each position.
Atoms (fractional coordinates):
Pd (0.8602, 0.3886, 0.3571)  1 Li 2.68, 4 Er 2.81-2.99, 4 Pd 2.81-2.96
Pd (0.6398, 0.3886, 0.8571)  1 Li 2.68, 4 Er 2.81-2.99, 4 Pd 2.81-2.96
Pd (0.3850, 0.0011, 0.7576)  3 Li 2.65-2.82, 7 Pd 2.81-2.95, 2 Er 2.84-2.86
Pd (0.6150, 0.9989, 0.2424)  3 Li 2.65-2.82, 7 Pd 2.81-2.95, 2 Er 2.84-2.86
Pd (0.1115, 0.1992, 0.0418)  2 Li 2.67-2.68, 3 Er 2.80-2.96, 5 Pd 2.83-2.96
Pd (0.6115, 0.8008, 0.4582)  2 Li 2.67-2.68, 3 Er 2.80-2.96, 5 Pd 2.83-2.96
Pd (0.1150, 0.0011, 0.2576)  3 Li 2.65-2.82, 7 Pd 2.81-2.95, 2 Er 2.84-2.86
Pd (0.1398, 0.6114, 0.6429)  1 Li 2.68, 4 Er 2.81-2.99, 4 Pd 2.81-2.96
Pd (0.3885, 0.1992, 0.5418)  2 Li 2.67-2.68, 3 Er 2.80-2.96, 5 Pd 2.83-2.96
Pd (0.3602, 0.6114, 0.1429)  1 Li 2.68, 4 Er 2.81-2.99, 4 Pd 2.81-2.96
Pd (0.8850, 0.9989, 0.7424)  3 Li 2.65-2.82, 7 Pd 2.81-2.95, 2 Er 2.84-2.86
Pd (0.8885, 0.8008, 0.9582)  2 Li 2.67-2.68, 3 Er 2.80-2.96, 5 Pd 2.83-2.96
Li (0.8563, 0.1546, 0.5161)  1 Li 2.62, 6 Pd 2.65-2.82
Li (0.3563, 0.8454, 0.9839)  1 Li 2.62, 6 Pd 2.65-2.82
Li (0.1437, 0.8454, 0.4839)  1 Li 2.62, 6 Pd 2.65-2.82
Li (0.6437, 0.1546, 0.0161)  1 Li 2.62, 6 Pd 2.65-2.82
Er (0.8596, 0.6126, 0.1746)  9 Pd 2.80-2.99, 2 Li 3.11-3.12
Er (0.1404, 0.3874, 0.8254)  9 Pd 2.80-2.99, 2 Li 3.11-3.12
Er (0.3596, 0.3874, 0.3254)  9 Pd 2.80-2.99, 2 Li 3.11-3.12
Er (0.6404, 0.6126, 0.6746)  9 Pd 2.80-2.99, 2 Li 3.11-3.12

Results
- Total magnetization: 0.00 μB/cell
- Crystal system: monoclinic
- Uncorrected energy: -5.101 eV/atom
- Calculated formation energy: -0.690 eV/atom

=====

[5]
VASP calculation (GGA-PBE) on a relaxed structure of LiEr4Pd3.

a = 4.9667 Å, b = 4.9667 Å, c = 7.7940 Å
α = 108.66°, β = 108.67°, γ = 89.80°
Closest atoms and distances in Å follow each position.
Atoms (fractional coordinates):
Pd (0.0000, 0.5000, 0.0000)  8 Er 3.05-3.06
Pd (0.2629, 0.7629, 0.5261)  8 Er 2.91-3.12
Pd (0.7371, 0.2371, 0.4739)  8 Er 2.91-3.12
Er (0.8721, 0.8723, 0.7443)  6 Pd 2.91-3.12, 2 Li 3.05
Er (0.3723, 0.3722, 0.7443)  6 Pd 2.91-3.12, 2 Li 3.05
Er (0.6277, 0.6278, 0.2557)  6 Pd 2.91-3.12, 2 Li 3.05
Er (0.1279, 0.1277, 0.2557)  6 Pd 2.91-3.12, 2 Li 3.05
Li (0.5000, 0.0000, 0.0000)  8 Er 3.05, 2 Pd 3.29

Results
- Total magnetization: 0.00 μB/cell
- Crystal system: orthorhombic
- Uncorrected energy: -5.162 eV/atom
- Calculated formation energy: -0.694 eV/atom

=====

[6]
VASP calculation (GGA-PBE) on a relaxed structure of Li2Er2Pd5.

a = 6.5192 Å, b = 5.9933 Å, c = 8.9535 Å
α = 109.55°, β = 111.35°, γ = 90.00°
Closest atoms and distances in Å follow each position.
Atoms (fractional coordinates):
Er (0.2469, 0.2872, 0.5000)  11 Pd 2.92-3.22
Er (0.7531, 0.7872, 0.5000)  11 Pd 2.92-3.22
Er (0.0000, 0.0374, 0.0000)  8 Pd 2.97-2.99, 4 Li 3.20
Er (0.5000, 0.5374, 0.0000)  8 Pd 2.97-2.99, 4 Li 3.20
Pd (0.8767, 0.9141, 0.2537)  2 Li 2.38
Pd (0.8769, 0.4141, 0.2537)  2 Li 2.38
Pd (0.3792, 0.9163, 0.2581)  2 Li 2.38
Pd (0.6211, 0.1582, 0.7419)  2 Li 2.38
Pd (0.3789, 0.4163, 0.2581)  2 Li 2.38
Pd (0.1231, 0.1605, 0.7463)  2 Li 2.38
Pd (0.6208, 0.6582, 0.7419)  2 Li 2.38
Pd (0.7524, 0.2873, 0.5000)  2 Li 2.78, 8 Pd 2.91-2.92, 2 Er 3.00
Pd (0.1233, 0.6605, 0.7463)  2 Li 2.38
Pd (0.2476, 0.7873, 0.5000)  2 Li 2.78, 8 Pd 2.91-2.92, 2 Er 3.00
Li (0.5695, 0.1091, 0.1432)  1 Li 2.23, 4 Pd 2.38
Li (0.0737, 0.6091, 0.1432)  1 Li 2.23, 4 Pd 2.38
Li (0.4305, 0.9659, 0.8568)  1 Li 2.23, 4 Pd 2.38
Li (0.9263, 0.4659, 0.8568)  1 Li 2.23, 4 Pd 2.38

Results
- Total magnetization: 0.00 μB/cell
- Crystal system: orthorhombic
- Uncorrected energy: -5.004 eV/atom
- Calculated formation energy: -0.680 eV/atom

=====

[7]
VASP calculation (GGA-PBE) on a relaxed structure of LiErPd4.

a = 3.9564 Å, b = 5.0071 Å, c = 6.3780 Å
α = 104.91°, β = 71.93°, γ = 66.73°
Closest atoms and distances in Å follow each position.
Atoms (fractional coordinates):
Pd (0.8317, 0.4994, 0.8372)  7 Pd 2.79-3.01, 2 Er 2.85, 3 Li 2.87
Pd (0.3459, 0.9932, 0.3150)  2 Li 2.76, 7 Pd 2.80-3.01, 3 Er 2.89-2.94
Pd (0.6541, 0.0068, 0.6850)  2 Li 2.76, 7 Pd 2.80-3.01, 3 Er 2.89-2.94
Pd (0.1683, 0.5006, 0.1628)  7 Pd 2.79-3.01, 2 Er 2.85, 3 Li 2.87
Er (0.5000, 0.5000, 0.5000)  10 Pd 2.85-2.94, 2 Li 2.90
Li (0.0000, 0.0000, 0.0000)  10 Pd 2.76-2.87, 2 Er 2.90

Results
- Total magnetization: 0.00 μB/cell
- Crystal system: monoclinic
- Uncorrected energy: -5.136 eV/atom
- Calculated formation energy: -0.595 eV/atom

=====

[8]
VASP calculation (GGA-PBE) on a relaxed structure of LiErPd5.

a = 7.3950 Å, b = 7.3950 Å, c = 10.9751 Å
α = 42.12°, β = 42.12°, γ = 44.35°
Closest atoms and distances in Å follow each position.
Atoms (fractional coordinates):
Pd (0.7691, 0.2309, 0.7500)  2 Er 2.69-2.89, 8 Pd 2.82-2.88
Pd (0.7402, 0.7314, 0.3851)  1 Li 2.54, 4 Pd 2.66-2.83, 1 Er 2.78
Pd (0.2603, 0.2678, 0.3569)  1 Li 2.54, 4 Pd 2.66-2.83, 1 Er 2.78
Pd (0.7397, 0.7322, 0.6431)  1 Li 2.54, 4 Pd 2.66-2.83, 1 Er 2.78
Pd (0.2598, 0.2686, 0.6149)  1 Li 2.54, 4 Pd 2.66-2.83, 1 Er 2.78
Pd (0.2678, 0.2603, 0.8569)  1 Li 2.54, 4 Pd 2.66-2.83, 1 Er 2.78
Pd (0.2686, 0.2598, 0.1149)  1 Li 2.54, 4 Pd 2.66-2.83, 1 Er 2.78
Pd (0.7322, 0.7397, 0.1431)  1 Li 2.54, 4 Pd 2.66-2.83, 1 Er 2.78
Pd (0.2309, 0.7691, 0.2500)  2 Er 2.69-2.89, 8 Pd 2.82-2.88
Pd (0.7314, 0.7402, 0.8851)  1 Li 2.54, 4 Pd 2.66-2.83, 1 Er 2.78
Li (0.0000, 0.0000, 0.0000)  4 Pd 2.54
Li (0.0000, 0.0000, 0.5000)  4 Pd 2.54
Er (0.7484, 0.2516, 0.2500)  10 Pd 2.69-2.96
Er (0.2516, 0.7484, 0.7500)  10 Pd 2.69-2.96

Results
- Total magnetization: 0.00 μB/cell
- Crystal system: orthorhombic
- Uncorrected energy: -5.012 eV/atom
- Calculated formation energy: -0.378 eV/atom

=====

[9]
VASP calculation (GGA-PBE) on a relaxed structure of LiErPd5.

a = 4.1508 Å, b = 4.1508 Å, c = 6.7900 Å
α = 90.00°, β = 90.00°, γ = 90.00°
Closest atoms and distances in Å follow each position.
Atoms (fractional coordinates):
Pd (0.5000, 0.5000, 0.5000)  8 Pd 2.86, 4 Er 2.94
Pd (0.5000, 0.0000, 0.2093)  2 Li 2.52
Pd (0.0000, 0.5000, 0.7907)  2 Li 2.52
Pd (0.0000, 0.5000, 0.2093)  2 Li 2.52
Pd (0.5000, 0.0000, 0.7907)  2 Li 2.52
Er (0.0000, 0.0000, 0.5000)  12 Pd 2.86-2.94
Li (0.5000, 0.5000, 0.0000)  8 Pd 2.52

Results
- Total magnetization: 0.00 μB/cell
- Crystal system: tetragonal
- Uncorrected energy: -5.115 eV/atom
- Calculated formation energy: -0.481 eV/atom

=====

[10]
VASP calculation (GGA-PBE) on a relaxed structure of Li3Er2Pd4.

a = 4.3320 Å, b = 4.6806 Å, c = 8.9082 Å
α = 83.45°, β = 90.04°, γ = 62.42°
Closest atoms and distances in Å follow each position.
Atoms (fractional coordinates):
Li (0.0000, 0.0000, 0.0000)  8 Pd 2.75-3.07
Li (0.6465, 0.7053, 0.5659)  1 Li 2.57, 3 Pd 2.71-2.82
Li (0.3535, 0.2947, 0.4341)  1 Li 2.57, 3 Pd 2.71-2.82
Pd (0.0144, 0.9721, 0.3465)  5 Li 2.71-3.03, 1 Pd 2.77, 3 Er 2.86-2.88
Pd (0.9856, 0.0279, 0.6535)  5 Li 2.71-3.03, 1 Pd 2.77, 3 Er 2.86-2.88
Pd (0.6588, 0.6821, 0.8972)  4 Li 2.75-2.94, 4 Er 2.83-2.86
Pd (0.3412, 0.3179, 0.1028)  4 Li 2.75-2.94, 4 Er 2.83-2.86
Er (0.6772, 0.6464, 0.2195)  7 Pd 2.83-2.88, 5 Li 3.12-3.15
Er (0.3228, 0.3536, 0.7805)  7 Pd 2.83-2.88, 5 Li 3.12-3.15

Results
- Total magnetization: 0.00 μB/cell
- Crystal system: triclinic
- Uncorrected energy: -4.581 eV/atom
- Calculated formation energy: -0.621 eV/atom